No. 1
Compound: HfNb2Tc4
Source: Alexandria
Functional: PBE
Structure: optimized geometry

## Properties
SG = I4/mmm (139)
ρ = 10.1 g/cm3
Spin magnetization = 0.018 μB per atom
ΔH_f (0 K) = 0.231 eV/atom

Cell and atoms, written as extended XYZ:
```
7
Lattice="5.152 0.032 -1.794 -2.559 4.441 -1.868 0.018 -0.032 5.455" Properties=species:S:1:pos:R:3 pbc="T T T"
Nb 2.585 0.000 1.831
Nb 1.296 2.236 -1.831
Tc 1.306 2.220 0.897
Hf 0.000 0.000 0.000
Tc -1.279 2.220 -0.934
Tc 2.576 0.016 -0.897
Tc 0.009 -0.016 2.727
```

No. 2
Compound: Tb4CS
Source: Alexandria
Functional: PBE
Structure: optimized geometry

## Properties
SG = P2/m (10)
ρ = 7.5 g/cm3
Energy relative to the elements, uncorrected = -76.0 kJ per mole of atoms
Spin magnetization = 0.059 μB per atom

Cell and atoms, written as extended XYZ:
```
6
Lattice="3.726 0.000 0.000 0.000 6.088 -2.145 0.000 0.114 6.573" Properties=species:S:1:pos:R:3 pbc="T T T"
Tb 0.000 1.662 4.234
C 0.000 3.101 2.214
S 1.863 3.044 -1.072
Tb 1.863 1.663 1.296
Tb 1.863 4.538 3.132
Tb 0.000 4.539 0.194
```

No. 3
Compound: TePt2Se
Source: Alexandria
Functional: PBE
Structure: optimized geometry

## Properties
SG = R-3m (166)
ρ = 12.3 g/cm3
Energy relative to the elements, uncorrected = -11.0 kJ per mole of atoms
Spin magnetization = 0.000 μB per atom

Cell and atoms, written as extended XYZ:
```
4
Lattice="6.616 -0.033 -0.020 5.506 3.669 -0.020 5.506 1.651 3.276" Properties=species:S:1:pos:R:3 pbc="T T T"
Se 4.407 1.322 0.809
Pt 8.863 2.658 1.627
Te 13.221 3.965 2.427
Pt 17.579 5.272 3.227
```

No. 4
Compound: Rb2SiHF6
Source: Alexandria
Functional: PBE
Structure: optimized geometry

## Properties
SG = Fm-3m (225)
ρ = 3.2 g/cm3
Spin magnetization = 0.100 μB per atom
E = -48.0 eV per cell

Cell and atoms, written as extended XYZ:
```
10
Lattice="6.141 0.000 0.000 0.000 6.141 0.000 3.070 3.070 4.349" Properties=species:S:1:pos:R:3 pbc="T T T"
Si 0.000 0.000 0.000
Rb 6.141 3.070 2.174
F 1.217 1.217 0.000
F 4.924 1.217 0.000
F 6.141 6.141 1.722
F 4.924 4.924 0.000
H 3.070 3.070 0.000
F 1.217 4.924 0.000
F 3.070 3.070 2.627
Rb 3.070 6.141 2.174
```

No. 5
Compound: LiCd5
Source: Alexandria
Functional: PBE
Structure: optimized geometry

## Properties
SG = Cm (8)
ρ = 7.5 g/cm3
Spin magnetization = 0.000 μB per atom
ΔH_f (0 K) = -0.110 eV/atom

Cell and atoms, written as extended XYZ:
```
6
Lattice="-2.016 -5.041 -2.043 -0.894 -5.674 0.812 -6.907 -0.085 2.695" Properties=species:S:1:pos:R:3 pbc="T T T"
Cd -6.126 -4.226 1.470
Cd -0.035 -0.015 0.010
Cd -3.167 -3.572 0.453
Cd -6.639 -7.191 1.015
Cd -2.813 -0.669 0.957
Li -2.490 -7.729 -0.734
```

No. 6
Compound: K2TaSb
Source: Alexandria
Functional: PBE
Structure: optimized geometry

## Properties
SG = P2/m (10)
ρ = 5.6 g/cm3
Energy relative to the elements, uncorrected = 73.6 kJ per mole of atoms
Spin magnetization = 0.066 μB per atom

Cell and atoms, written as extended XYZ:
```
4
Lattice="6.056 0.000 0.000 0.000 3.230 -0.008 0.000 2.123 5.756" Properties=species:S:1:pos:R:3 pbc="T T T"
Ta 3.028 4.015 4.311
K 0.000 0.118 0.022
K 0.000 2.558 2.852
Sb 3.028 1.338 1.437
```